1.
ReNiRu after structural relaxation, computed with PBE.

Cell lengths 4.077, 4.077, 4.077 Å; angles 60.00, 60.00, 60.00 degrees
Sites, in units of the cell vectors:
1 Re 0.000 0.000 0.000
2 Ni 0.250 0.250 0.250
3 Ru 0.750 0.750 0.750

Summary:
The magnetization comes out at 0.000 μB per atom. The density of states at the Fermi level comes out at 1.3413 states/eV/atom. Its formation energy is 0.571 eV per atom. The total energy comes out at -8.60 eV/atom. For the relative energy among the computed polymorphs, the calculation gives 584 meV per atom. As for the volume: 15.97 A^3/atom.


2.
PaInHgCl6 after structural relaxation, computed with PBE.

Cell lengths 7.877, 7.877, 15.202 Å; angles 90.00, 90.00, 120.00 degrees
Sites, in units of the cell vectors:
1 Pa 0.333 0.667 0.250
2 Pa 0.667 0.333 0.750
3 In 0.333 0.667 0.750
4 In 0.667 0.333 0.250
5 Hg 0.000 0.000 0.000
6 Hg 0.000 0.000 0.500
7 Cl 0.058 0.407 0.154
8 Cl 0.058 0.651 0.346
9 Cl 0.349 0.407 0.346
10 Cl 0.349 0.942 0.154
11 Cl 0.407 0.058 0.654
12 Cl 0.407 0.349 0.846
13 Cl 0.593 0.651 0.154
14 Cl 0.593 0.942 0.346
15 Cl 0.651 0.058 0.846
16 Cl 0.651 0.593 0.654
17 Cl 0.942 0.349 0.654
18 Cl 0.942 0.593 0.846

Summary:
The uncorrected formation energy comes out at -1.439 eV/atom. The magnetization comes out at 0.000 μB per atom. The total energy comes out at -4.06 eV/atom. As for the volume: 45.38 A^3/atom.


3.
In3CuOs after structural relaxation, computed with PBE.

Cell lengths 5.164, 5.164, 5.164 Å; angles 90.00, 90.00, 90.00 degrees
Sites, in units of the cell vectors:
1 In 0.000 0.000 0.500
2 In 0.000 0.500 0.000
3 In 0.500 0.000 0.000
4 Cu 0.500 0.500 0.500
5 Os 0.000 0.000 0.000

Summary:
The magnetization comes out at 0.000 μB per atom. The density of states at the Fermi level comes out at 0.7781 states/eV/atom. Its formation energy is 0.602 eV per atom. The total energy comes out at -4.11 eV/atom. For the relative energy among the computed polymorphs, the calculation gives 0 meV per atom. As for the volume: 27.54 A^3/atom.


4.
RhF4 after structural relaxation, computed with PBE.

Cell lengths 3.983, 3.983, 3.983 Å; angles 90.00, 90.00, 90.00 degrees
Sites, in units of the cell vectors:
1 Rh 0.000 0.000 0.000
2 F 0.000 0.000 0.500
3 F 0.000 0.500 0.000
4 F 0.500 0.000 0.000
5 F 0.500 0.500 0.500

Summary:
The uncorrected formation energy comes out at -0.931 eV/atom. The magnetization comes out at 0.346 μB per atom. The density of states at the Fermi level comes out at 1.8807 states/eV/atom. The total energy comes out at -3.90 eV/atom. As for the volume: 12.63 A^3/atom.


5.
ZnCI2O after structural relaxation, computed with PBE.

Cell lengths 5.815, 5.815, 3.598 Å; angles 90.00, 90.00, 90.00 degrees
Sites, in units of the cell vectors:
1 Zn 0.000 0.000 0.000
2 C 0.500 0.500 0.500
3 I 0.000 0.500 0.000
4 I 0.500 0.000 0.000
5 O 0.000 0.000 0.500

Summary:
The uncorrected formation energy comes out at 1.252 eV/atom. The magnetization comes out at 0.089 μB per atom. The density of states at the Fermi level comes out at 1.1684 states/eV/atom. The total energy comes out at -2.46 eV/atom. For the relative energy among the computed polymorphs, the calculation gives 374 meV per atom. As for the volume: 24.34 A^3/atom.


6.
Co2Pt8Rh after structural relaxation, computed with PBE.

Cell lengths 7.182, 7.182, 7.182 Å; angles 148.10, 119.50, 70.04 degrees
Sites, in units of the cell vectors:
1 Co 0.187 0.187 0.000
2 Co 0.813 0.813 0.000
3 Pt 0.069 0.340 0.729
4 Pt 0.196 0.000 0.196
5 Pt 0.342 0.842 0.500
6 Pt 0.389 0.660 0.729
7 Pt 0.611 0.340 0.271
8 Pt 0.658 0.158 0.500
9 Pt 0.804 0.000 0.804
10 Pt 0.931 0.660 0.271
11 Rh 0.500 0.500 0.000

Summary:
The magnetization comes out at 0.610 μB per atom. The density of states at the Fermi level comes out at 1.3126 states/eV/atom. Its formation energy is 0.020 eV per atom. The total energy comes out at -6.33 eV/atom. For the relative energy among the computed polymorphs, the calculation gives 0 meV per atom. As for the volume: 15.27 A^3/atom.


7.
AlTl after structural relaxation, computed with PBE.

Cell lengths 3.411, 15.896, 5.412 Å; angles 90.00, 90.00, 90.00 degrees
Sites, in units of the cell vectors:
1 Al 0.250 0.072 0.047
2 Al 0.250 0.428 0.047
3 Al 0.250 0.750 0.744
4 Al 0.750 0.250 0.256
5 Al 0.750 0.572 0.953
6 Al 0.750 0.928 0.953
7 Tl 0.250 0.250 0.794
8 Tl 0.250 0.588 0.460
9 Tl 0.250 0.912 0.460
10 Tl 0.750 0.088 0.540
11 Tl 0.750 0.412 0.540
12 Tl 0.750 0.750 0.206

Summary:
The magnetization comes out at 0.000 μB per atom. The density of states at the Fermi level comes out at 0.4826 states/eV/atom. Its formation energy is 0.299 eV per atom. The total energy comes out at -2.76 eV/atom. As for the volume: 24.45 A^3/atom.


8.
Y5As4Se after structural relaxation, computed with PBE.

Cell lengths 10.903, 10.903, 10.903 Å; angles 158.23, 149.05, 38.16 degrees
Sites, in units of the cell vectors:
1 Y 0.000 0.000 0.000
2 Y 0.200 0.200 0.000
3 Y 0.395 0.395 0.000
4 Y 0.605 0.605 0.000
5 Y 0.800 0.800 0.000
6 As 0.099 0.599 0.500
7 As 0.300 0.800 0.500
8 As 0.700 0.200 0.500
9 As 0.901 0.401 0.500
10 Se 0.500 0.000 0.500

Summary:
The uncorrected formation energy comes out at -1.646 eV/atom. The magnetization comes out at 0.000 μB per atom. The density of states at the Fermi level comes out at 0.2666 states/eV/atom. The total energy comes out at -7.09 eV/atom. As for the volume: 24.69 A^3/atom.


9.
ZrIn2Se after structural relaxation, computed with PBE.

Cell lengths 8.952, 8.952, 8.952 Å; angles 22.87, 22.87, 22.87 degrees
Sites, in units of the cell vectors:
1 Zr 0.000 0.000 0.000
2 In 0.242 0.242 0.242
3 In 0.758 0.758 0.758
4 Se 0.500 0.500 0.500

Summary:
The uncorrected formation energy comes out at -0.137 eV/atom. The magnetization comes out at 0.000 μB per atom. The density of states at the Fermi level comes out at 0.6402 states/eV/atom. The total energy comes out at -4.51 eV/atom. As for the volume: 23.78 A^3/atom.


10.
Al2InMo2 after structural relaxation, computed with PBE.

Cell lengths 7.174, 7.174, 3.430 Å; angles 90.00, 90.00, 90.00 degrees
Sites, in units of the cell vectors:
1 Al 0.167 0.333 0.000
2 Al 0.333 0.833 0.000
3 Al 0.667 0.167 0.000
4 Al 0.833 0.667 0.000
5 In 0.000 0.000 0.500
6 In 0.500 0.500 0.500
7 Mo 0.124 0.624 0.500
8 Mo 0.376 0.124 0.500
9 Mo 0.624 0.876 0.500
10 Mo 0.876 0.376 0.500

Summary:
The magnetization comes out at 0.000 μB per atom. The density of states at the Fermi level comes out at 0.7956 states/eV/atom. Its formation energy is 0.101 eV per atom. The total energy comes out at -6.28 eV/atom. For the relative energy among the computed polymorphs, the calculation gives 36 meV per atom. As for the volume: 17.65 A^3/atom.


11.
RbInHg2H after structural relaxation, computed with PBE.

Cell lengths 5.916, 5.916, 4.248 Å; angles 90.00, 90.00, 90.00 degrees
Sites, in units of the cell vectors:
1 Rb 0.000 0.000 0.000
2 In 0.500 0.500 0.500
3 Hg 0.000 0.500 0.500
4 Hg 0.500 0.000 0.500
5 H 0.500 0.500 0.000

Summary:
The magnetization comes out at 0.000 μB per atom. The density of states at the Fermi level comes out at 0.3587 states/eV/atom. The total energy comes out at -1.50 eV/atom. As for the volume: 29.74 A^3/atom.


12.
ScSbHPd2 after structural relaxation, computed with PBE.

Cell lengths 4.149, 4.149, 4.374 Å; angles 90.00, 90.00, 90.00 degrees
Sites, in units of the cell vectors:
1 Sc 0.000 0.000 0.000
2 Sb 0.500 0.500 0.000
3 H 0.000 0.000 0.500
4 Pd 0.000 0.500 0.500
5 Pd 0.500 0.000 0.500

Summary:
The magnetization comes out at 0.000 μB per atom. The density of states at the Fermi level comes out at 0.5335 states/eV/atom. The total energy comes out at -5.43 eV/atom. As for the volume: 15.06 A^3/atom.